Record 1
Density functional theory data (PBE) for TbPu5As6 after structural relaxation.

Output
ρ ... 10.117 g/cm3
Total energy ... -9.761 eV/atom
ΔE_f ... -12.945 eV per formula unit

a = 7.164 Å, b = 12.405 Å, c = 7.165 Å
α = 90.00°, β = 109.52°, γ = 90.00°
Space group C2/m (No. 12)
Inequivalent atoms, fractional coordinates:
Tb: 0.000 0.000 0.000 [2 per cell]
Pu: 0.000 0.166 0.500 [4 per cell]
Pu: 0.000 0.334 0.000 [4 per cell]
Pu: 0.000 0.500 0.500 [2 per cell]
As: 0.249 0.500 0.250 [4 per cell]
As: 0.250 0.169 0.250 [8 per cell]

***

Record 2
Density functional theory data (PBE) for LaScCr4 after structural relaxation.

Output
ρ ... 6.729 g/cm3
Total energy ... -7.916 eV/atom
ΔE_f ... 2.254 eV per formula unit

a = 7.286 Å, b = 7.286 Å, c = 7.286 Å
α = 90.00°, β = 90.00°, γ = 90.00°
Space group F-43m (No. 216)
Inequivalent atoms, fractional coordinates:
La: 0.000 0.000 0.000 [4 per cell]
Sc: 0.250 0.250 0.750 [4 per cell]
Cr: 0.125 0.125 0.375 [16 per cell]

***

Record 3
Density functional theory data (PBE) for BeH3Pd6 after structural relaxation.

Output
ρ ... 9.841 g/cm3
Total energy ... -4.688 eV/atom

a = 2.835 Å, b = 5.493 Å, c = 14.831 Å
α = 79.63°, β = 89.83°, γ = 75.32°
Space group P1 (No. 1)
Inequivalent atoms, fractional coordinates:
Be: 0.000 0.000 0.000 [1 per cell]
Be: 0.003 0.995 0.499 [1 per cell]
H: 0.275 0.456 0.037 [1 per cell]
H: 0.284 0.435 0.543 [1 per cell]
H: 0.288 0.438 0.304 [1 per cell]
H: 0.504 0.994 0.764 [1 per cell]
H: 0.512 0.982 0.254 [1 per cell]
H: 0.726 0.546 0.703 [1 per cell]
Pd: 0.131 0.745 0.231 [1 per cell]
Pd: 0.137 0.726 0.740 [1 per cell]
Pd: 0.317 0.362 0.927 [1 per cell]
Pd: 0.319 0.359 0.430 [1 per cell]
Pd: 0.438 0.135 0.112 [1 per cell]
Pd: 0.441 0.122 0.615 [1 per cell]
Pd: 0.576 0.843 0.895 [1 per cell]
Pd: 0.579 0.848 0.392 [1 per cell]
Pd: 0.690 0.627 0.575 [1 per cell]
Pd: 0.691 0.629 0.078 [1 per cell]
Pd: 0.876 0.254 0.268 [1 per cell]
Pd: 0.879 0.239 0.776 [1 per cell]

***

Record 4
Density functional theory data (PBE) for Pm4ZnIr2 after structural relaxation.

Output
ρ ... 9.416 g/cm3
Total energy ... -5.948 eV/atom
ΔE_f ... -3.639 eV per formula unit

a = 7.147 Å, b = 7.275 Å, c = 8.468 Å
α = 108.00°, β = 107.43°, γ = 106.57°
Space group P1 (No. 1)
Inequivalent atoms, fractional coordinates:
Pm: 0.000 0.000 0.000 [1 per cell]
Pm: 0.036 0.180 0.519 [1 per cell]
Pm: 0.294 0.601 0.401 [1 per cell]
Pm: 0.431 0.060 0.822 [1 per cell]
Pm: 0.472 0.116 0.392 [1 per cell]
Pm: 0.565 0.694 0.090 [1 per cell]
Pm: 0.848 0.655 0.511 [1 per cell]
Pm: 0.957 0.456 0.912 [1 per cell]
Zn: 0.542 0.523 0.714 [1 per cell]
Zn: 0.783 0.265 0.198 [1 per cell]
Ir: 0.034 0.801 0.262 [1 per cell]
Ir: 0.223 0.633 0.752 [1 per cell]
Ir: 0.426 0.336 0.159 [1 per cell]
Ir: 0.728 0.995 0.650 [1 per cell]

***

Record 5
Density functional theory data (PBE) for PrDyIr after structural relaxation.

Output
ρ ... 10.044 g/cm3
Total energy ... -6.547 eV/atom
ΔE_f ... -1.398 eV per formula unit
Polymorph energy (0 for the lowest one) ... 130 meV per atom

a = 3.535 Å, b = 3.535 Å, c = 13.117 Å
α = 90.00°, β = 90.00°, γ = 90.00°
Space group I4mm (No. 107)
Inequivalent atoms, fractional coordinates:
Pr: 0.000 0.000 0.000 [2 per cell]
Dy: 0.000 0.000 0.748 [2 per cell]
Ir: 0.000 0.000 0.364 [2 per cell]

***

Record 6
Density functional theory data (PBE) for HoTm2Pa after structural relaxation.

Output
ρ ... 10.595 g/cm3
Total energy ... -5.478 eV/atom
ΔE_f ... 1.105 eV per formula unit
Polymorph energy (0 for the lowest one) ... 178 meV per atom

a = 5.711 Å, b = 5.711 Å, c = 3.527 Å
α = 90.00°, β = 90.00°, γ = 90.00°
Space group P4/mmm (No. 123)
Inequivalent atoms, fractional coordinates:
Ho: 0.000 0.000 0.000 [1 per cell]
Tm: 0.000 0.500 0.500 [2 per cell]
Pa: 0.500 0.500 0.000 [1 per cell]

***

Record 7
Density functional theory data (PBE) for PuHf2Ru3 after structural relaxation.

Output
ρ ... 14.034 g/cm3
Total energy ... -10.892 eV/atom
ΔE_f ... -3.286 eV per formula unit

a = 3.246 Å, b = 3.246 Å, c = 10.154 Å
α = 90.00°, β = 90.00°, γ = 90.00°
Space group P4/mmm (No. 123)
Inequivalent atoms, fractional coordinates:
Pu: 0.000 0.000 0.000 [1 per cell]
Hf: 0.000 0.000 0.339 [2 per cell]
Ru: 0.500 0.500 0.185 [2 per cell]
Ru: 0.500 0.500 0.500 [1 per cell]

***

Record 8
Density functional theory data (PBE) for KRbZr2Be after structural relaxation.

Output
ρ ... 3.129 g/cm3
Total energy ... -3.600 eV/atom
ΔE_f ... 4.887 eV per formula unit

a = 4.951 Å, b = 4.951 Å, c = 6.843 Å
α = 90.00°, β = 90.00°, γ = 90.00°
Space group P4/mmm (No. 123)
Inequivalent atoms, fractional coordinates:
K: 0.000 0.000 0.000 [1 per cell]
Rb: 0.500 0.500 0.000 [1 per cell]
Zr: 0.000 0.500 0.500 [2 per cell]
Be: 0.500 0.500 0.500 [1 per cell]